1.
Compound: CrSbW
Source: Alexandria via LeMat-Bulk
Functional: PBEsol
Structure: relaxed

Results
The space group is No. 216.

a = 4.3638 Å, b = 4.3638 Å, c = 4.3638 Å
α = 60.00°, β = 60.00°, γ = 60.00°
With the nearest neighbours (Å) after each atom.
Positions (direct):
Cr: 0.5000 0.5000 0.5000  4 Sb 2.67
Sb: 0.2500 0.2500 0.2500  4 Cr 2.67, 4 W 2.67
W: 0.0000 0.0000 0.0000  4 Sb 2.67

***

2.
Compound: Cr2SbW
Source: Alexandria via LeMat-Bulk
Functional: PBEsol
Structure: relaxed

Results
The space group is No. 6.

a = 2.9248 Å, b = 3.8727 Å, c = 5.2981 Å
α = 90.00°, β = 98.14°, γ = 90.00°
With the nearest neighbours (Å) after each atom.
Positions (direct):
Cr: 0.0337 0.0000 0.0044  2 Cr 2.41, 2 W 2.52, 1 Sb 2.59
Cr: 0.3971 0.5000 0.2183  1 W 2.41, 2 Cr 2.41
Sb: 0.9847 0.0000 0.4878  6 Cr 2.59-2.84, 2 W 2.86
W: 0.5845 0.5000 0.7896  3 Cr 2.41-2.52

***

3.
Compound: CrSbW2
Source: Alexandria via LeMat-Bulk
Functional: PBEsol
Structure: relaxed

Results
The space group is No. 166.

a = 2.9872 Å, b = 2.9872 Å, c = 8.5742 Å
α = 79.97°, β = 79.97°, γ = 60.00°
With the nearest neighbours (Å) after each atom.
Positions (direct):
Cr: 0.5000 0.5000 0.5000  6 W 2.54
Sb: 0.0000 0.0000 0.0000  6 W 2.91, 6 Sb 2.99
W: 0.2404 0.2404 0.2788  3 Cr 2.54
W: 0.7596 0.7596 0.7212  3 Cr 2.54

***

4.
Compound: CrSbW2
Source: Alexandria via LeMat-Bulk
Functional: PBEsol
Structure: relaxed

Results
The space group is No. 10.

a = 2.9443 Å, b = 4.0820 Å, c = 5.3157 Å
α = 90.00°, β = 97.73°, γ = 90.00°
With the nearest neighbours (Å) after each atom.
Positions (direct):
Cr: 0.5000 0.5000 0.0000  4 W 2.59, 2 Sb 2.66
Sb: 0.5000 0.5000 0.5000  2 Cr 2.66, 8 W 2.87-2.93, 2 Sb 2.94
W: 0.0849 0.0000 0.7737  1 W 2.52, 2 Cr 2.59
W: 0.9151 0.0000 0.2263  1 W 2.52, 2 Cr 2.59

***

no.,total energy (eV per atom),D(E_F) (states/eV/f.u.),raw formation energy (eV per formula unit)
1,-8.446,3.77,3.27
2,-9.241,4.23,1.88
3,-9.954,3.36,2.60
4,-10.081,3.32,2.09